Compound: TaTlFe
Source: Alexandria via LeMat-Bulk
Functional: GGA-PBE
Structure: relaxed

energy relative to the elements	0.535	eV/atom
total moment	1.85	μB per formula unit
raw total energy	-7.025	eV/atom

Unit cell a=4.5352 b=4.5352 c=2.9614 alpha=90.00 beta=90.00 gamma=120.00
Space group P3m1 (No. 156)
Symmetry-distinct sites (fractional):
Ta 0.0000 0.0000 0.0000 x1
Tl 0.6667 0.3333 0.4758 x1
Fe 0.3333 0.6667 0.7269 x1

Compound: CdGa2Hg6
Source: Alexandria via LeMat-Bulk
Functional: GGA-PBE
Structure: relaxed

energy relative to the elements	0.048	eV/atom
total moment	0.00	μB per formula unit
raw total energy	-0.927	eV/atom
E above lowest polymorph	0.000	eV/atom

Unit cell a=10.1421 b=5.0725 c=8.9655 alpha=90.00 beta=104.36 gamma=90.00
Space group C2/m (No. 12)
Symmetry-distinct sites (fractional):
Cd 0.0000 0.0000 0.0000 x2
Ga 0.1235 0.5000 0.6264 x4
Hg 0.0411 0.0000 0.3392 x4
Hg 0.1612 0.5000 0.9629 x4
Hg 0.2140 0.5000 0.3233 x4